<1>
# PBE-GGA LuBeZnFe, optimized geometry
data_LuBeZnFe
_chemical_formula_sum 'Lu4 Be4 Zn4 Fe4'
_space_group_name_H-M_alt 'F -4 3 m'
_space_group_IT_number 216
_space_group_name_Hall 'F -4 2 3'
_cell_length_a 6.2119
_cell_length_b 6.2119
_cell_length_c 6.2119
_cell_angle_alpha 90.00
_cell_angle_beta 90.00
_cell_angle_gamma 90.00
loop_
_atom_site_label
_atom_site_type_symbol
_atom_site_fract_x
_atom_site_fract_y
_atom_site_fract_z
Lu1 Lu 0.0000 0.0000 0.0000
Be1 Be 0.2500 0.2500 0.2500
Zn1 Zn 0.0000 0.0000 0.5000
Fe1 Fe 0.2500 0.2500 0.7500
# V	240	Å³ per cell
# size of the total moment	0.461	μB/atom

<2>
# PBE-GGA LuBeZnFe, optimized geometry
data_LuBeZnFe
_chemical_formula_sum 'Lu4 Be4 Zn4 Fe4'
_space_group_name_H-M_alt 'F -4 3 m'
_space_group_IT_number 216
_space_group_name_Hall 'F -4 2 3'
_cell_length_a 6.2426
_cell_length_b 6.2426
_cell_length_c 6.2426
_cell_angle_alpha 90.00
_cell_angle_beta 90.00
_cell_angle_gamma 90.00
loop_
_atom_site_label
_atom_site_type_symbol
_atom_site_fract_x
_atom_site_fract_y
_atom_site_fract_z
Lu1 Lu 0.0000 0.0000 0.0000
Be1 Be 0.2500 0.2500 0.7500
Zn1 Zn 0.2500 0.2500 0.2500
Fe1 Fe 0.0000 0.0000 0.5000
# V	243	Å³ per cell
# size of the total moment	0.594	μB/atom

Preferred: <2>; penalty for the next structure: 0.112 eV/atom.